Entry 1:
BeFe2Te: optimized geometry, PBE. Values from VASP.

Results
E   -22.34 eV/f.u.
N(E_F)   3.82 states/eV per cell
Offset from the most stable computed form   118.0 meV per atom
ΔE_f (raw)   0.3644 eV/atom
Symmetry   P4/mmm
Size of the total moment   1.1 μB/cell

Cell and atoms, written as Quantum ESPRESSO input:
```
&SYSTEM
  ibrav = 0, nat = 4, ntyp = 3
/
ATOMIC_SPECIES
Be 9.01 Be.upf
Fe 55.84 Fe.upf
Te 127.60 Te.upf
CELL_PARAMETERS angstrom
3.893 0.000 0.000
0.000 3.893 0.000
0.000 0.000 3.263
ATOMIC_POSITIONS angstrom
Be 0.000 0.000 0.000
Fe 0.000 1.947 1.631
Fe 1.947 0.000 1.631
Te 1.947 1.947 0.000
```

Entry 2:
BeFeTe2: optimized geometry, PBE. Values from VASP.

Results
E   -16.25 eV/f.u.
N(E_F)   9.35 states/eV per cell
ΔE_f (raw)   0.5561 eV/atom
Symmetry   I-4m2
Size of the total moment   6.9 μB/cell

Cell and atoms, written as Quantum ESPRESSO input:
```
&SYSTEM
  ibrav = 0, nat = 8, ntyp = 3
/
ATOMIC_SPECIES
Be 9.01 Be.upf
Fe 55.84 Fe.upf
Te 127.60 Te.upf
CELL_PARAMETERS angstrom
3.677 0.000 0.000
0.000 3.677 0.000
0.000 0.000 16.033
ATOMIC_POSITIONS angstrom
Be 0.000 0.000 0.000
Be 1.839 1.839 8.016
Fe 0.000 1.839 12.025
Fe 1.839 0.000 4.008
Te 0.000 0.000 8.016
Te 0.000 1.839 4.008
Te 1.839 0.000 12.025
Te 1.839 1.839 0.000
```

Entry 3:
BeFeTe2: optimized geometry, PBE. Values from VASP.

Results
E   -16.01 eV/f.u.
N(E_F)   3.51 states/eV per cell
ΔE_f (raw)   0.6168 eV/atom
Symmetry   P4/mmm
Size of the total moment   2.5 μB/cell

Cell and atoms, written as Quantum ESPRESSO input:
```
&SYSTEM
  ibrav = 0, nat = 4, ntyp = 3
/
ATOMIC_SPECIES
Be 9.01 Be.upf
Fe 55.84 Fe.upf
Te 127.60 Te.upf
CELL_PARAMETERS angstrom
3.346 0.000 0.000
0.000 3.346 0.000
0.000 0.000 6.637
ATOMIC_POSITIONS angstrom
Be 0.000 0.000 0.000
Fe 0.000 0.000 3.319
Te 1.673 1.673 1.686
Te 1.673 1.673 4.951
```

Entry 4:
BeFe3Te: optimized geometry, PBE. Values from VASP.

Results
E   -24.71 eV/f.u.
N(E_F)   3.37 states/eV per cell
Offset from the most stable computed form   1035.3 meV per atom
ΔE_f (raw)   1.5090 eV/atom
Symmetry   Pm-3m
Size of the total moment   6.7 μB/cell

Cell and atoms, written as Quantum ESPRESSO input:
```
&SYSTEM
  ibrav = 0, nat = 5, ntyp = 3
/
ATOMIC_SPECIES
Be 9.01 Be.upf
Fe 55.84 Fe.upf
Te 127.60 Te.upf
CELL_PARAMETERS angstrom
4.660 0.000 0.000
0.000 4.660 0.000
0.000 0.000 4.660
ATOMIC_POSITIONS angstrom
Be 0.000 0.000 0.000
Fe 0.000 2.330 2.330
Fe 2.330 0.000 2.330
Fe 2.330 2.330 0.000
Te 2.330 2.330 2.330
```

Question: Which of these has the highest size of the total moment?
Answer: number 2